A geometry-optimized TlHgAu2 structure, computed with PBE.

## Properties
Energy relative to the lowest polymorph listed for this composition: 0.142 eV per atom
Calculated volume: 90.8 Å³/f.u.
DOS(E_F): 0.8 states/eV/f.u.
Total energy: -2.1642 eV/atom
Magnetic moment: 0.0 μB/f.u.
Theoretical density: 14.610 Mg/m³
ΔE_f: 0.14 eV/atom

a = 12.1845 Å, b = 2.9183 Å, c = 5.4758 Å
α = 90.00°, β = 111.15°, γ = 90.00°
Space group C2/m (No. 12)
One atom of each set of equivalent atoms:
Tl 0.0000 0.0000 0.0000 (multiplicity 2)
Hg 0.0000 0.5000 0.5000 (multiplicity 2)
Au 0.2447 0.0000 0.7468 (multiplicity 4)